Computed, not measured: a relaxed ZrCd2Te2 crystal at the GGA-PBE level of DFT.

Lattice parameters (Å, degrees): 9.334 9.334 9.334 156.36 156.36 33.68
Sites, in units of the cell vectors:
Zr1 0.000 0.000 0.000
Cd1 0.250 0.750 0.500
Cd2 0.750 0.250 0.500
Te1 0.411 0.411 0.000
Te2 0.589 0.589 0.000

## Properties
**Energy above the most stable polymorph in this dataset**: 0.000 eV/atom
**E_tot**: -3.536 eV/atom


Computed, not measured: a relaxed ThCd3 crystal at the GGA-PBE level of DFT.

Lattice parameters (Å, degrees): 6.789 6.789 4.965 90.00 90.00 120.00
Sites, in units of the cell vectors:
Th1 0.333 0.667 0.250
Th2 0.667 0.333 0.750
Cd1 0.157 0.314 0.750
Cd2 0.157 0.843 0.750
Cd3 0.314 0.157 0.250
Cd4 0.686 0.843 0.750
Cd5 0.843 0.157 0.250
Cd6 0.843 0.686 0.250

## Properties
**Energy relative to the elements**: -0.16 eV/atom
**E_tot**: -2.688 eV/atom


Computed, not measured: a relaxed ThCd2 crystal at the GGA-PBE level of DFT.

Lattice parameters (Å, degrees): 5.066 5.066 3.424 90.00 90.00 120.00
Sites, in units of the cell vectors:
Th1 0.000 0.000 0.000
Cd1 0.333 0.667 0.500
Cd2 0.667 0.333 0.500

## Properties
**Energy relative to the elements**: -0.19 eV/atom
**E_tot**: -3.257 eV/atom


Computed, not measured: a relaxed ThCd11 crystal at the GGA-PBE level of DFT.

Lattice parameters (Å, degrees): 9.316 9.316 9.316 90.00 90.00 90.00
Sites, in units of the cell vectors:
Th1 0.000 0.000 0.500
Th2 0.000 0.500 0.000
Th3 0.500 0.000 0.000
Cd1 0.000 0.344 0.344
Cd2 0.000 0.344 0.656
Cd3 0.000 0.656 0.344
Cd4 0.000 0.656 0.656
Cd5 0.156 0.156 0.156
Cd6 0.156 0.156 0.844
Cd7 0.156 0.844 0.156
Cd8 0.156 0.844 0.844
Cd9 0.265 0.265 0.500
Cd10 0.265 0.500 0.265
Cd11 0.265 0.500 0.735
Cd12 0.265 0.735 0.500
Cd13 0.344 0.000 0.344
Cd14 0.344 0.000 0.656
Cd15 0.344 0.344 0.000
Cd16 0.344 0.656 0.000
Cd17 0.500 0.265 0.265
Cd18 0.500 0.265 0.735
Cd19 0.500 0.500 0.500
Cd20 0.500 0.735 0.265
Cd21 0.500 0.735 0.735
Cd22 0.656 0.000 0.344
Cd23 0.656 0.000 0.656
Cd24 0.656 0.344 0.000
Cd25 0.656 0.656 0.000
Cd26 0.735 0.265 0.500
Cd27 0.735 0.500 0.265
Cd28 0.735 0.500 0.735
Cd29 0.735 0.735 0.500
Cd30 0.844 0.156 0.156
Cd31 0.844 0.156 0.844
Cd32 0.844 0.844 0.156
Cd33 0.844 0.844 0.844

## Properties
**Energy relative to the elements**: -0.10 eV/atom
**E_tot**: -1.536 eV/atom


Computed, not measured: a relaxed Th6Cd23 crystal at the GGA-PBE level of DFT.

Lattice parameters (Å, degrees): 9.953 9.953 9.953 60.00 60.00 60.00
Sites, in units of the cell vectors:
Th1 0.191 0.191 0.809
Th2 0.191 0.809 0.191
Th3 0.191 0.809 0.809
Th4 0.809 0.191 0.191
Th5 0.809 0.191 0.809
Th6 0.809 0.809 0.191
Cd1 0.000 0.000 0.500
Cd2 0.000 0.500 0.000
Cd3 0.000 0.500 0.500
Cd4 0.140 0.620 0.620
Cd5 0.168 0.168 0.168
Cd6 0.168 0.168 0.497
Cd7 0.168 0.497 0.168
Cd8 0.380 0.380 0.380
Cd9 0.380 0.380 0.860
Cd10 0.380 0.860 0.380
Cd11 0.497 0.168 0.168
Cd12 0.500 0.000 0.000
Cd13 0.500 0.000 0.500
Cd14 0.500 0.500 0.000
Cd15 0.500 0.500 0.500
Cd16 0.503 0.832 0.832
Cd17 0.620 0.140 0.620
Cd18 0.620 0.620 0.140
Cd19 0.620 0.620 0.620
Cd20 0.832 0.503 0.832
Cd21 0.832 0.832 0.503
Cd22 0.832 0.832 0.832
Cd23 0.860 0.380 0.380

## Properties
**Energy relative to the elements**: -0.13 eV/atom
**E_tot**: -2.375 eV/atom


Computed, not measured: a relaxed ThTlCd crystal at the GGA-PBE level of DFT.

Lattice parameters (Å, degrees): 5.015 5.015 5.015 60.00 60.00 60.00
Sites, in units of the cell vectors:
Th1 0.000 0.000 0.000
Tl1 0.500 0.500 0.500
Cd1 0.250 0.250 0.250

## Properties
**E_tot**: -3.431 eV/atom


Computed, not measured: a relaxed TmThCd crystal at the GGA-PBE level of DFT.

Lattice parameters (Å, degrees): 5.305 5.305 10.407 90.00 90.00 120.00
Sites, in units of the cell vectors:
Tm1 0.000 0.000 0.000
Tm2 0.000 0.000 0.335
Tm3 0.333 0.667 0.514
Th1 0.000 0.000 0.656
Th2 0.333 0.667 0.186
Th3 0.333 0.667 0.857
Cd1 0.667 0.333 0.072
Cd2 0.667 0.333 0.418
Cd3 0.667 0.333 0.749

## Properties
**Energy above the most stable polymorph in this dataset**: 0.000 eV/atom
**Energy relative to the elements**: 0.04 eV/atom
**E_tot**: -4.221 eV/atom


Computed, not measured: a relaxed TmThCd crystal at the GGA-PBE level of DFT.

Lattice parameters (Å, degrees): 5.121 5.121 5.121 60.00 60.00 60.00
Sites, in units of the cell vectors:
Tm1 0.000 0.000 0.000
Th1 0.250 0.250 0.250
Cd1 0.750 0.750 0.750

## Properties
**Energy above the most stable polymorph in this dataset**: 0.629 eV/atom
**Energy relative to the elements**: 0.67 eV/atom
**E_tot**: -3.592 eV/atom


Computed, not measured: a relaxed ThUCd crystal at the GGA-PBE level of DFT.

Lattice parameters (Å, degrees): 5.027 5.027 5.027 60.00 60.00 60.00
Sites, in units of the cell vectors:
Th1 0.000 0.000 0.000
U1 0.750 0.750 0.750
Cd1 0.500 0.500 0.500

## Properties
**Energy relative to the elements**: 0.97 eV/atom
**E_tot**: -5.570 eV/atom


Computed, not measured: a relaxed ThCdW crystal at the GGA-PBE level of DFT.

Lattice parameters (Å, degrees): 4.782 4.782 4.782 60.00 60.00 60.00
Sites, in units of the cell vectors:
Th1 0.000 0.000 0.000
Cd1 0.500 0.500 0.500
W1 0.250 0.250 0.250

## Properties
**Energy relative to the elements**: 0.91 eV/atom
**E_tot**: -6.178 eV/atom


Computed, not measured: a relaxed Tl5Cd2 crystal at the GGA-PBE level of DFT.

Lattice parameters (Å, degrees): 7.635 7.635 9.051 114.83 114.83 90.11
Sites, in units of the cell vectors:
Tl1 0.000 0.285 0.000
Tl2 0.000 0.715 0.000
Tl3 0.125 0.875 0.750
Tl4 0.285 0.000 0.500
Tl5 0.285 0.500 0.499
Tl6 0.500 0.285 0.999
Tl7 0.500 0.715 0.001
Tl8 0.715 0.000 0.500
Tl9 0.715 0.500 0.501
Tl10 0.875 0.125 0.250
Cd1 0.105 0.355 0.711
Cd2 0.355 0.105 0.211
Cd3 0.645 0.895 0.789
Cd4 0.895 0.645 0.289

## Properties
**Energy above the most stable polymorph in this dataset**: 0.016 eV/atom
**E_tot**: -1.888 eV/atom


Computed, not measured: a relaxed TlCd crystal at the GGA-PBE level of DFT.

Lattice parameters (Å, degrees): 4.384 4.384 4.384 60.00 60.00 60.00
Sites, in units of the cell vectors:
Tl1 0.000 0.000 0.000
Cd1 0.500 0.500 0.500

## Properties
**E_tot**: -1.508 eV/atom


Computed, not measured: a relaxed TlCd crystal at the GGA-PBE level of DFT.

Lattice parameters (Å, degrees): 6.055 6.227 6.283 104.03 103.02 93.57
Sites, in units of the cell vectors:
Tl1 0.170 0.295 0.134
Tl2 0.233 0.851 0.519
Tl3 0.767 0.149 0.481
Tl4 0.830 0.705 0.866
Cd1 0.290 0.396 0.667
Cd2 0.360 0.814 0.052
Cd3 0.640 0.186 0.948
Cd4 0.710 0.604 0.333

## Properties
**E_tot**: -1.593 eV/atom


Computed, not measured: a relaxed TlCd crystal at the GGA-PBE level of DFT.

Lattice parameters (Å, degrees): 3.376 3.376 5.448 90.00 90.00 120.00
Sites, in units of the cell vectors:
Tl1 0.000 0.000 0.000
Cd1 0.333 0.667 0.500

## Properties
**E_tot**: -1.578 eV/atom


Computed, not measured: a relaxed TlCd crystal at the GGA-PBE level of DFT.

Lattice parameters (Å, degrees): 5.741 9.495 10.119 90.00 90.00 90.00
Sites, in units of the cell vectors:
Tl1 0.250 0.042 0.206
Tl2 0.250 0.458 0.206
Tl3 0.250 0.565 0.588
Tl4 0.250 0.750 0.935
Tl5 0.250 0.935 0.588
Tl6 0.750 0.065 0.412
Tl7 0.750 0.250 0.065
Tl8 0.750 0.435 0.412
Tl9 0.750 0.542 0.794
Tl10 0.750 0.958 0.794
Cd1 0.006 0.750 0.306
Cd2 0.250 0.087 0.912
Cd3 0.250 0.250 0.434
Cd4 0.250 0.413 0.912
Cd5 0.494 0.750 0.306
Cd6 0.506 0.250 0.694
Cd7 0.750 0.587 0.088
Cd8 0.750 0.750 0.566
Cd9 0.750 0.913 0.088
Cd10 0.994 0.250 0.694

## Properties
**E_tot**: -1.598 eV/atom


Computed, not measured: a relaxed Tl5Cd2 crystal at the GGA-PBE level of DFT.

Lattice parameters (Å, degrees): 9.152 9.152 16.958 90.00 90.00 120.00
Sites, in units of the cell vectors:
Tl1 0.000 0.000 0.000
Tl2 0.000 0.000 0.500
Tl3 0.000 0.263 0.340
Tl4 0.000 0.295 0.132
Tl5 0.000 0.390 0.748
Tl6 0.000 0.609 0.248
Tl7 0.000 0.705 0.632
Tl8 0.000 0.738 0.840
Tl9 0.001 0.373 0.535
Tl10 0.001 0.628 0.035
Tl11 0.262 0.000 0.340
Tl12 0.262 0.263 0.840
Tl13 0.295 0.000 0.132
Tl14 0.295 0.295 0.632
Tl15 0.333 0.667 0.385
Tl16 0.333 0.667 0.885
Tl17 0.372 0.373 0.035
Tl18 0.372 0.999 0.535
Tl19 0.391 0.000 0.748
Tl20 0.391 0.390 0.248
Tl21 0.610 0.000 0.248
Tl22 0.610 0.609 0.748
Tl23 0.627 0.628 0.535
Tl24 0.627 0.999 0.035
Tl25 0.667 0.333 0.385
Tl26 0.667 0.333 0.885
Tl27 0.705 0.000 0.632
Tl28 0.705 0.705 0.132
Tl29 0.737 0.000 0.840
Tl30 0.737 0.738 0.340
Cd1 0.000 0.000 0.218
Cd2 0.000 0.000 0.718
Cd3 0.000 0.332 0.942
Cd4 0.000 0.668 0.442
Cd5 0.332 0.000 0.942
Cd6 0.332 0.332 0.442
Cd7 0.333 0.667 0.149
Cd8 0.333 0.667 0.649
Cd9 0.667 0.333 0.148
Cd10 0.667 0.333 0.648
Cd11 0.668 0.000 0.442
Cd12 0.668 0.668 0.942

## Properties
**Energy above the most stable polymorph in this dataset**: 0.000 eV/atom
**E_tot**: -1.903 eV/atom


Computed, not measured: a relaxed TlCd crystal at the GGA-PBE level of DFT.

Lattice parameters (Å, degrees): 4.777 4.777 4.777 60.00 60.00 60.00
Sites, in units of the cell vectors:
Tl1 0.000 0.000 0.000
Cd1 0.250 0.250 0.250

## Properties
**E_tot**: -1.251 eV/atom


Computed, not measured: a relaxed Tl5Cd3 crystal at the GGA-PBE level of DFT.

Lattice parameters (Å, degrees): 6.766 13.237 4.956 90.00 90.00 90.00
Sites, in units of the cell vectors:
Tl1 0.000 0.000 0.000
Tl2 0.044 0.256 0.000
Tl3 0.221 0.619 0.500
Tl4 0.279 0.119 0.500
Tl5 0.456 0.756 0.000
Tl6 0.500 0.500 0.000
Tl7 0.544 0.244 0.000
Tl8 0.721 0.881 0.500
Tl9 0.779 0.381 0.500
Tl10 0.956 0.744 0.000
Cd1 0.000 0.500 0.000
Cd2 0.223 0.872 0.500
Cd3 0.277 0.372 0.500
Cd4 0.500 0.000 0.000
Cd5 0.723 0.628 0.500
Cd6 0.777 0.128 0.500

## Properties
**E_tot**: -1.765 eV/atom


Computed, not measured: a relaxed Y2TmTl2Cd4 crystal at the GGA-PBE level of DFT.

Lattice parameters (Å, degrees): 4.580 7.508 7.508 119.67 90.00 90.00
Sites, in units of the cell vectors:
Y1 0.000 0.214 0.786
Y2 0.000 0.786 0.214
Tm1 0.000 0.641 0.641
Tl1 0.500 0.548 0.879
Tl2 0.500 0.879 0.548
Cd1 0.000 0.218 0.218
Cd2 0.500 0.215 0.455
Cd3 0.500 0.455 0.215
Cd4 0.500 0.975 0.975

## Properties
**E_tot**: -3.188 eV/atom


Computed, not measured: a relaxed TlCdW2 crystal at the GGA-PBE level of DFT.

Lattice parameters (Å, degrees): 4.723 4.723 4.723 60.00 60.00 60.00
Sites, in units of the cell vectors:
Tl1 0.000 0.000 0.000
Cd1 0.250 0.250 0.250
W1 0.500 0.500 0.500
W2 0.750 0.750 0.750

## Properties
**E_tot**: -6.266 eV/atom


Computed, not measured: a relaxed Y2Tl2Cd crystal at the GGA-PBE level of DFT.

Lattice parameters (Å, degrees): 7.453 7.453 7.453 141.54 141.54 55.52
Sites, in units of the cell vectors:
Y1 0.250 0.750 0.500
Y2 0.750 0.250 0.500
Tl1 0.104 0.104 0.000
Tl2 0.896 0.896 0.000
Cd1 0.500 0.500 0.000

## Properties
**E_tot**: -3.531 eV/atom


Computed, not measured: a relaxed YTlCd crystal at the GGA-PBE level of DFT.

Lattice parameters (Å, degrees): 5.061 5.061 5.061 60.00 60.00 60.00
Sites, in units of the cell vectors:
Y1 0.000 0.000 0.000
Tl1 0.250 0.250 0.250
Cd1 0.750 0.750 0.750

## Properties
**E_tot**: -3.183 eV/atom